# LaTm2AlAu4 | Alexandria via LeMat-Bulk | PBE | optimized geometry
# - Spin magnetization: 0.00 μB per formula unit
# - Energy of formation from the pure elements: -747 meV per atom
# - Energy: -4.59 eV per atom
data_LaTm2AlAu4
_chemical_formula_sum 'La1 Tm2 Al1 Au4'
_cell_length_a 9.178
_cell_length_b 9.178
_cell_length_c 9.178
_cell_angle_alpha 31.00
_cell_angle_beta 31.00
_cell_angle_gamma 31.00
_symmetry_space_group_name_H-M 'P 1'
_symmetry_Int_Tables_number 1
_symmetry_space_group_name_Hall 'P 1'
loop_
_atom_site_label
_atom_site_type_symbol
_atom_site_fract_x
_atom_site_fract_y
_atom_site_fract_z
_atom_site_occupancy
La1 La 0.000 0.000 0.000 1
Tm1 Tm 0.236 0.236 0.236 1
Tm2 Tm 0.764 0.764 0.764 1
Al1 Al 0.500 0.500 0.500 1
Au1 Au 0.123 0.123 0.123 1
Au2 Au 0.396 0.396 0.396 1
Au3 Au 0.604 0.604 0.604 1
Au4 Au 0.877 0.877 0.877 1

=====

# BaCeSe4 | Alexandria via LeMat-Bulk | PBE | optimized geometry
# - Energy above the lowest structure with this stoichiometry: 0.047 eV/atom
# - Spin magnetization: 0.00 μB per formula unit
# - Energy: -4.96 eV per atom
# - E_form (uncorrected): -1.3302 eV per atom
data_BaCeSe4
_chemical_formula_sum 'Ba1 Ce1 Se4'
_cell_length_a 4.740
_cell_length_b 4.740
_cell_length_c 8.291
_cell_angle_alpha 90.00
_cell_angle_beta 90.00
_cell_angle_gamma 90.00
_symmetry_space_group_name_H-M 'P 1'
_symmetry_Int_Tables_number 1
_symmetry_space_group_name_Hall 'P 1'
loop_
_atom_site_label
_atom_site_type_symbol
_atom_site_fract_x
_atom_site_fract_y
_atom_site_fract_z
_atom_site_occupancy
Ba1 Ba 0.000 0.000 0.000 1
Ce1 Ce 0.500 0.500 0.500 1
Se1 Se 0.000 0.500 0.283 1
Se2 Se 0.000 0.500 0.717 1
Se3 Se 0.500 0.000 0.283 1
Se4 Se 0.500 0.000 0.717 1

=====

# CsCdClF2 | Alexandria via LeMat-Bulk | PBE | optimized geometry
# - Spin magnetization: 0.00 μB per formula unit
# - Energy: -3.54 eV per atom
# - E_form (uncorrected): -2.0706 eV per atom
data_CsCdClF2
_chemical_formula_sum 'Cs1 Cd1 Cl1 F2'
_cell_length_a 4.680
_cell_length_b 4.680
_cell_length_c 5.206
_cell_angle_alpha 90.00
_cell_angle_beta 90.00
_cell_angle_gamma 90.00
_symmetry_space_group_name_H-M 'P 1'
_symmetry_Int_Tables_number 1
_symmetry_space_group_name_Hall 'P 1'
loop_
_atom_site_label
_atom_site_type_symbol
_atom_site_fract_x
_atom_site_fract_y
_atom_site_fract_z
_atom_site_occupancy
Cs1 Cs 0.000 0.000 0.000 1
Cd1 Cd 0.500 0.500 0.500 1
Cl1 Cl 0.500 0.500 0.000 1
F1 F 0.000 0.500 0.500 1
F2 F 0.500 0.000 0.500 1